No. 1
This record from Alexandria describes an optimized crystal structure of Ta4AgTe. The functional is PBE-GGA.

Cell lengths 7.857, 7.857, 7.857 Å; angles 90.00, 90.00, 90.00 degrees
Space group F-43m (No. 216)
One atom of each set of equivalent atoms:
Ta 0.124 0.124 0.376 (multiplicity 16)
Ag 0.250 0.250 0.750 (multiplicity 4)
Te 0.000 0.000 0.000 (multiplicity 4)

Computed properties:
formation energy without anion corrections	607	meV/atom
N(E_F)	17.130	states/eV per cell
size of the total moment	0.000	μB/atom

***

No. 2
This record from Alexandria describes an optimized crystal structure of Ca4Cd3PbO8. The functional is PBE-GGA.

Cell lengths 6.9289, 6.9289, 16.7016 Å; angles 90.00, 90.00, 120.00 degrees
Space group R-3m (No. 166, hexagonal axes)
One atom of each set of equivalent atoms:
Ca 0.0000 0.0000 0.0000 (multiplicity 3)
Ca 0.0000 0.5000 0.0000 (multiplicity 9)
Cd 0.0000 0.5000 0.5000 (multiplicity 9)
Pb 0.0000 0.0000 0.5000 (multiplicity 3)
O 0.0000 0.0000 0.2514 (multiplicity 6)
O 0.0085 0.5042 0.7456 (multiplicity 18)

Computed properties:
formation energy without anion corrections	-1972	meV/atom
size of the total moment	0.000	μB/atom

***

No. 3
This record from Alexandria describes an optimized crystal structure of In2Bi2Br7. The functional is PBE-GGA.

Cell lengths 12.690, 9.172, 7.127 Å; angles 90.00, 91.93, 90.00 degrees
Space group C2/m (No. 12)
One atom of each set of equivalent atoms:
In 0.000 0.228 0.000 (multiplicity 4)
Bi 0.232 0.000 0.584 (multiplicity 4)
Br 0.000 0.000 0.500 (multiplicity 2)
Br 0.063 0.500 0.249 (multiplicity 4)
Br 0.210 0.289 0.741 (multiplicity 8)

Computed properties:
formation energy without anion corrections	-595	meV/atom
N(E_F)	5.748	states/eV per cell
size of the total moment	0.000	μB/atom

***

No. 4
This record from Alexandria describes an optimized crystal structure of Cs2TbHgI6. The functional is PBE-GGA.

Cell lengths 8.886, 8.886, 12.518 Å; angles 90.00, 90.00, 90.00 degrees
Space group I4/mmm (No. 139)
One atom of each set of equivalent atoms:
Cs 0.000 0.500 0.250 (multiplicity 4)
Tb 0.000 0.000 0.000 (multiplicity 2)
Hg 0.000 0.000 0.500 (multiplicity 2)
I 0.000 0.000 0.243 (multiplicity 4)
I 0.242 0.242 0.000 (multiplicity 8)

Computed properties:
formation energy without anion corrections	-1173	meV/atom
N(E_F)	8.209	states/eV per cell
size of the total moment	0.000	μB/atom

***

No. 5
This record from Alexandria describes an optimized crystal structure of La7Tl2Pd2. The functional is PBE-GGA.

Cell lengths 8.485, 11.764, 7.369 Å; angles 90.00, 90.00, 90.00 degrees
Space group Cmmm (No. 65)
One atom of each set of equivalent atoms:
La 0.000 0.000 0.000 (multiplicity 2)
La 0.000 0.500 0.241 (multiplicity 4)
La 0.250 0.250 0.263 (multiplicity 8)
Tl 0.174 0.000 0.500 (multiplicity 4)
Pd 0.000 0.281 0.000 (multiplicity 4)

Computed properties:
formation energy from the elements	-0.33	eV per atom
N(E_F)	27.452	states/eV per cell
size of the total moment	0.000	μB/atom
distance to the lowest polymorph of the same formula	92	meV/atom

***

No. 6
This record from Alexandria describes an optimized crystal structure of KLa2MoRh. The functional is PBE-GGA.

Cell lengths 5.327, 5.327, 5.332 Å; angles 90.00, 90.00, 90.00 degrees
Space group P4/mmm (No. 123)
One atom of each set of equivalent atoms:
K 0.000 0.000 0.000 (multiplicity 1)
La 0.000 0.500 0.500 (multiplicity 2)
Mo 0.000 0.000 0.500 (multiplicity 1)
Rh 0.500 0.500 0.000 (multiplicity 1)

Computed properties:
formation energy from the elements	0.98	eV per atom
N(E_F)	3.688	states/eV per cell
size of the total moment	0.000	μB/atom

***

No. 7
This record from Alexandria describes an optimized crystal structure of LiMn2Al. The functional is PBE-GGA.

Cell lengths 6.750, 6.750, 5.194 Å; angles 90.00, 90.00, 90.00 degrees
Space group I-42d (No. 122)
One atom of each set of equivalent atoms:
Li 0.000 0.000 0.000 (multiplicity 4)
Mn 0.238 0.750 0.125 (multiplicity 8)
Al 0.000 0.000 0.500 (multiplicity 4)

Computed properties:
formation energy from the elements	0.48	eV per atom
N(E_F)	14.071	states/eV per cell
size of the total moment	1.634	μB/atom

***

No. 8
This record from Alexandria describes an optimized crystal structure of BRh. The functional is PBE-GGA.

Cell lengths 3.1378, 3.1378, 10.0045 Å; angles 90.00, 90.00, 120.00 degrees
Space group P6_3/mmc (No. 194)
One atom of each set of equivalent atoms:
B 0.0000 0.0000 0.2500 (multiplicity 2)
B 0.3333 0.6667 0.2500 (multiplicity 2)
Rh 0.3333 0.6667 0.6169 (multiplicity 4)

Computed properties:
formation energy from the elements	-0.18	eV per atom
N(E_F)	1.831	states/eV per cell
size of the total moment	0.000	μB/atom

***

> The highest size of the total moment belongs to which entry?

LiMn2Al